The following is a GGA-PBEsol calculation of a geometry-optimized Y2AlFe3 structure, from Alexandria via LeMat-Bulk.

Output
Crystal system: trigonal
Energy of formation from the pure elements (meV/atom): -161
Space group: R-3m, No. 166

abc: 5.1298 5.1298 5.1298
angles: 59.96 59.96 59.96
Last column: nearest neighbours and their distance in Å.
Element x y z (fractional)
Y (0.1219, 0.1219, 0.1219)  9 Fe 2.99-3.04, 3 Al 3.01, 4 Y 3.06-3.17
Y (0.8781, 0.8781, 0.8781)  9 Fe 2.99-3.04, 3 Al 3.01, 4 Y 3.06-3.17
Al (0.5000, 0.5000, 0.5000)  6 Fe 2.56
Fe (0.0000, 0.5000, 0.5000)  4 Fe 2.56, 2 Al 2.56
Fe (0.5000, 0.0000, 0.5000)  4 Fe 2.56, 2 Al 2.56
Fe (0.5000, 0.5000, 0.0000)  4 Fe 2.56, 2 Al 2.56



The following is a GGA-PBEsol calculation of a geometry-optimized Be3Au structure, from Alexandria via LeMat-Bulk.

Output
Crystal system: tetragonal
Energy of formation from the pure elements (meV/atom): -114
Space group: I4/mmm, No. 139

abc: 4.2264 4.2264 4.2264
angles: 131.56 131.56 70.92
Last column: nearest neighbours and their distance in Å.
Element x y z (fractional)
Be (0.0000, 0.0000, 0.0000)  8 Be 2.44, 4 Au 2.45
Be (0.2500, 0.7500, 0.5000)  4 Au 2.44, 8 Be 2.44-2.45
Be (0.7500, 0.2500, 0.5000)  4 Au 2.44, 8 Be 2.44-2.45
Au (0.5000, 0.5000, 0.0000)  12 Be 2.44-2.45



The following is a GGA-PBEsol calculation of a geometry-optimized AlPt2W structure, from Alexandria via LeMat-Bulk.

Output
Crystal system: trigonal
Energy of formation from the pure elements (meV/atom): -288
Space group: R3m, No. 160

abc: 8.9100 8.9100 8.9100
angles: 18.14 18.14 18.14
Last column: nearest neighbours and their distance in Å.
Element x y z (fractional)
Al (0.0000, 0.0000, 0.0000)  3 Pt 2.58, 3 W 2.76, 6 Al 2.81
Pt (0.4999, 0.4999, 0.4999)  3 W 2.70, 9 Pt 2.81-2.88
Pt (0.7429, 0.7429, 0.7429)  3 Al 2.58, 9 Pt 2.81-2.88
W (0.2485, 0.2485, 0.2485)  3 Pt 2.70, 3 Al 2.76, 6 W 2.81



The following is a GGA-PBEsol calculation of a geometry-optimized KMnCr structure, from Alexandria via LeMat-Bulk.

Output
Crystal system: cubic
Energy of formation from the pure elements (meV/atom): 2252
Distance to the lowest polymorph of the same formula (eV/atom): 1.311
Space group: F-43m, No. 216

abc: 5.2442 5.2442 5.2442
angles: 60.00 60.00 60.00
Last column: nearest neighbours and their distance in Å.
Element x y z (fractional)
K (0.0000, 0.0000, 0.0000)  4 Cr 3.21, 4 Mn 3.21
Mn (0.2500, 0.2500, 0.2500)  4 K 3.21
Cr (0.7500, 0.7500, 0.7500)  4 K 3.21



The size of the total moment results, record by record, are as follows: 3.71; 0.00; 0.00; 9.89 μB per formula unit.